The following is a PBE calculation of a relaxed structure of YThSb, from Alexandria.

Computed properties:
The formation energy (no corrections) is -1.59 eV/f.u. The calculation puts the density at 8.22 g/cm3. The space-group type is I4mm.

Cell and atoms, written as POSCAR:
```
YThSb
1.0
4.003 0.000 0.000
0.000 4.003 0.000
-2.002 -2.002 5.580
Y Sb Th
1 1 1
Direct
0.970 0.970 0.940
0.608 0.608 0.217
0.272 0.272 0.544
```

=====

The following is a PBE calculation of a relaxed structure of YThSb2, from Alexandria.

Computed properties:
The formation energy (no corrections) is -3.27 eV/f.u. The calculation puts the density at 8.30 g/cm3. The space-group type is P4/mmm.

Cell and atoms, written as POSCAR:
```
YThSb2
1.0
-2.477 -0.695 -2.880
3.674 -3.161 -2.397
-1.926 -4.277 2.689
Y Sb Th
1 2 1
Direct
0.500 0.500 0.500
0.000 0.000 0.500
0.000 0.500 0.000
0.500 0.000 0.000
```

=====

The following is a PBE calculation of a relaxed structure of YTh2Sb3, from Alexandria.

Computed properties:
The formation energy (no corrections) is -5.96 eV/f.u. The calculation puts the density at 8.04 g/cm3. The space-group type is Immm.

Cell and atoms, written as POSCAR:
```
YTh2Sb3
1.0
4.460 0.000 0.000
0.000 6.330 0.000
-2.230 -3.165 6.716
Y Th Sb
1 2 3
Direct
0.500 0.500 0.500
0.832 0.832 0.165
0.168 0.168 0.835
0.838 0.338 0.176
0.162 0.662 0.824
0.500 0.000 0.500
```

=====

The following is a PBE calculation of a relaxed structure of Y5ThSb4, from Alexandria.

Computed properties:
The formation energy (no corrections) is -7.16 eV/f.u. The calculation puts the density at 5.78 g/cm3. The space-group type is C2/m.

Cell and atoms, written as POSCAR:
```
Y5ThSb4
1.0
4.359 0.000 0.000
0.000 8.473 -0.652
-2.179 -1.888 9.197
Y Th Sb
5 1 4
Direct
0.820 0.651 0.640
0.840 0.176 0.680
0.160 0.824 0.320
0.500 0.500 0.000
0.180 0.349 0.360
0.500 0.000 0.000
0.327 0.910 0.654
0.989 0.733 0.978
0.673 0.090 0.346
0.011 0.267 0.022
```

=====

The following is a PBE calculation of a relaxed structure of Y2ThSb, from Alexandria.

Computed properties:
The formation energy (no corrections) is -2.01 eV/f.u. The calculation puts the density at 7.64 g/cm3. The space-group type is P4/mmm.

Cell and atoms, written as POSCAR:
```
Y2ThSb
1.0
-3.414 0.340 -1.913
-0.321 -3.913 -0.123
-3.653 0.095 6.535
Y Sb Th
2 1 1
Direct
0.000 0.000 0.720
0.000 0.000 0.280
0.500 0.500 0.500
0.500 0.500 0.000
```

=====

The following is a PBE calculation of a relaxed structure of Y2ThSb, from Alexandria.

Computed properties:
The formation energy (no corrections) is -1.77 eV/f.u. The calculation puts the density at 7.78 g/cm3. The space-group type is P4/mmm.

Cell and atoms, written as POSCAR:
```
Y2ThSb
1.0
-2.462 -3.905 0.773
2.136 -0.474 4.411
-3.602 2.673 2.032
Y Sb Th
2 1 1
Direct
0.000 0.000 0.500
0.000 0.500 0.000
0.500 0.000 0.000
0.500 0.500 0.500
```

=====

The following is a PBE calculation of a relaxed structure of YThSb, from Alexandria.

Computed properties:
The formation energy (no corrections) is -0.82 eV/f.u. The calculation puts the density at 8.01 g/cm3. The space-group type is P3m1.

Cell and atoms, written as POSCAR:
```
YThSb
1.0
3.879 0.000 0.000
0.000 5.228 0.000
0.000 -2.614 4.527
Y Sb Th
1 1 1
Direct
0.546 0.667 0.333
0.410 0.333 0.667
0.044 0.000 0.000
```

=====

The following is a PBE calculation of a relaxed structure of Th2ZnSb, from Alexandria.

Computed properties:
The formation energy (no corrections) is -1.82 eV/f.u. The calculation puts the density at 9.98 g/cm3. The space-group type is P4/mmm.

Cell and atoms, written as POSCAR:
```
Th2ZnSb
1.0
3.958 0.000 0.000
0.000 3.958 0.000
0.000 0.000 6.915
Sb Zn Th
1 1 2
Direct
0.500 0.500 0.000
0.500 0.500 0.500
0.000 0.000 0.746
0.000 0.000 0.254
```

=====

The following is a PBE calculation of a relaxed structure of ThZnSb2, from Alexandria.

Computed properties:
The formation energy (no corrections) is -1.91 eV/f.u. The calculation puts the density at 8.93 g/cm3. The space-group type is P4/mmm.

Cell and atoms, written as POSCAR:
```
ThZnSb2
1.0
4.401 0.000 0.000
0.000 4.782 0.000
0.000 0.000 4.782
Sb Zn Th
2 1 1
Direct
0.000 0.000 0.500
0.000 0.500 0.000
0.500 0.000 0.000
0.500 0.500 0.500
```

=====

The following is a PBE calculation of a relaxed structure of Th2ZnSb, from Alexandria.

Computed properties:
The formation energy (no corrections) is -2.09 eV/f.u. The calculation puts the density at 9.74 g/cm3. The space-group type is P2_1/m.

Cell and atoms, written as POSCAR:
```
Th2ZnSb
1.0
4.288 0.000 0.000
0.000 6.195 -0.055
0.000 -3.163 8.387
Th Zn Sb
4 2 2
Direct
0.750 0.210 0.435
0.250 0.790 0.565
0.250 0.780 0.077
0.750 0.220 0.923
0.750 0.670 0.291
0.250 0.330 0.709
0.250 0.342 0.211
0.750 0.658 0.789
```

=====

The following is a PBE calculation of a relaxed structure of ThZnSb2, from Alexandria.

Computed properties:
The formation energy (no corrections) is -1.00 eV/f.u. The calculation puts the density at 7.78 g/cm3. The space-group type is R-3m.

Cell and atoms, written as POSCAR:
```
ThZnSb2
1.0
-1.564 -4.140 0.449
1.002 -3.097 -3.031
5.295 -4.100 2.676
Sb Zn Th
2 1 1
Direct
0.259 0.259 0.224
0.741 0.741 0.776
0.000 0.000 0.000
0.500 0.500 0.500
```

=====

The following is a PBE calculation of a relaxed structure of ThZr5Sb6, from Alexandria.

Computed properties:
The formation energy (no corrections) is -7.14 eV/f.u. The calculation puts the density at 7.48 g/cm3. The space-group type is C2/m.

Cell and atoms, written as POSCAR:
```
ThZr5Sb6
1.0
7.284 0.220 0.000
2.263 6.872 0.000
1.131 3.436 6.354
Th Zr Sb
1 5 6
Direct
0.000 0.000 0.000
0.500 0.149 0.702
0.000 0.325 0.349
0.500 0.500 0.000
0.000 0.675 0.651
0.500 0.851 0.298
0.732 0.090 0.350
0.268 0.559 0.350
0.241 0.275 0.000
0.759 0.725 0.000
0.732 0.441 0.650
0.268 0.910 0.650
```

=====

Question: Which value of formation energy (no corrections) does entry 1 give?
Answer: -1.59 eV/f.u.

=====

Question: What is the formation energy (no corrections) in the eleventh record?
Answer: -1.00 eV/f.u.

=====

Question: Which value of density does entry 4 give?
Answer: 5.78 g/cm3